1.
Density functional theory data (GGA-PBEsol) for CdAsCl2 after structural relaxation.

For the distance to the lowest polymorph of the same formula, the calculation gives 0.0 meV/atom. As for the raw formation energy: -0.3560 eV/atom.

It has space group Amm2 (No. 38), with a = 4.7527 Å, b = 4.2755 Å, c = 10.7726 Å, α = 90.00°, β = 90.00° and γ = 90.00°. The inequivalent atoms are Cd at (0.0000, 0.0000, 0.0000), As at (0.5000, 0.0000, 0.8954), Cl at (0.0000, 0.0000, 0.6315) and Cl at (0.5000, 0.0000, 0.2985).


2.
Density functional theory data (GGA-PBEsol) for Sc2CoGeH after structural relaxation.

The total energy comes out at -6.43 eV per atom.

It has space group P4/mmm (No. 123), with a = 4.3596 Å, b = 4.3596 Å, c = 3.4905 Å, α = 90.00°, β = 90.00° and γ = 90.00°. The inequivalent atoms are Sc at (0.0000, 0.5000, 0.0000), Co at (0.0000, 0.0000, 0.5000), Ge at (0.5000, 0.5000, 0.5000) and H at (0.0000, 0.0000, 0.0000).


3.
Density functional theory data (GGA-PBEsol) for ScSnMoPd2 after structural relaxation.

The formation energy is 60 kJ/mol of atoms.

It has space group P4/mmm (No. 123), with a = 4.7308 Å, b = 4.7308 Å, c = 5.0359 Å, α = 90.00°, β = 90.00° and γ = 90.00°. The inequivalent atoms are Sc at (0.0000, 0.0000, 0.0000), Sn at (0.5000, 0.5000, 0.0000), Mo at (0.5000, 0.5000, 0.5000) and Pd at (0.0000, 0.5000, 0.5000).


D(E_F), record by record: 0.181, 0.455, 0.738 states/eV per atom
Mass density, record by record: 3.92, 5.57, 6.96 g cm⁻³